DFT (PBE) results for a geometry-optimized PaZnBi structure.

## Properties
For the energy of formation, the calculation gives 0.230 eV per atom. The spin magnetization comes out at 0.25 μB/atom. The value obtained for the density of states at the Fermi level is 1.449 states/eV per atom. Its volume is 336.1 Å³/cell.

The structure in CIF format:
```
data_PaZnBi
_space_group_name_H-M_alt 'P 1'
_space_group_IT_number 1
_space_group_name_Hall 'P 1'
_cell_length_a 10.123
_cell_length_b 8.075
_cell_length_c 7.673
_cell_angle_alpha 79.97
_cell_angle_beta 51.76
_cell_angle_gamma 48.27
loop_
_atom_site_label
_atom_site_type_symbol
_atom_site_fract_x
_atom_site_fract_y
_atom_site_fract_z
Pa1 Pa 0.072 0.678 0.072
Pa2 Pa 0.322 0.928 0.322
Pa3 Pa 0.678 0.072 0.678
Pa4 Pa 0.928 0.322 0.928
Zn1 Zn 0.038 0.038 0.212
Zn2 Zn 0.212 0.212 0.038
Zn3 Zn 0.788 0.788 0.962
Zn4 Zn 0.962 0.962 0.788
Bi1 Bi 0.000 0.500 0.500
Bi2 Bi 0.500 0.000 0.500
Bi3 Bi 0.500 0.500 0.000
Bi4 Bi 0.500 0.500 0.500
```